## ScZn2Ni2 (PBE)

Data for a relaxed structure of ScZn2Ni2.

Results
**Total magnetization**: 0.0 μB per cell
**Energy relative to the lowest polymorph listed for this composition**: 76 meV per atom
**Crystal system**: tetragonal
**E**: -4.37 eV per atom
**Energy of formation from the pure elements**: -0.278 eV/atom

a b c (Å): 3.7075 3.7075 21.8289
angles (deg): 90.00 90.00 90.00
Space group I4/mmm (No. 139)
Symmetry-distinct sites (fractional):
Sc: 0.0000 0.0000 0.1238
Zn: 0.0000 0.0000 0.3193
Zn: 0.0000 0.5000 0.0000
Ni: 0.0000 0.0000 0.4268
Ni: 0.0000 0.5000 0.2500